VASP calculation (GGA-PBE) on Pm6Te3As2Pb after structural relaxation.

abc: 4.381 8.900 9.898
angles: 103.75 102.78 90.00
Sites, in units of the cell vectors:
Pm  0.333  0.894  0.665
Pm  0.674  0.568  0.348
Pm  0.667  0.106  0.335
Pm  0.008  0.251  0.017
Pm  0.992  0.749  0.983
Pm  0.326  0.432  0.652
Te  0.500  0.500  0.000
Te  0.836  0.168  0.671
Te  0.164  0.832  0.329
As  0.832  0.664  0.663
As  0.168  0.336  0.337
Pb  0.500  0.000  0.000

The total magnetic moment is 0.000 μB/f.u. The space group is C2/m (12). The calculation puts the calculated volume at 365 Å³ per cell. For the uncorrected energy, the calculation gives -5.602 eV/atom. The uncorrected formation energy is -16.28 eV/f.u.